[1]
Here is a geometry-optimized Cd4C3 structure from Alexandria. Energies are from PBE.

Cell lengths 4.819, 4.819, 4.819 Å; angles 90.00, 90.00, 90.00 degrees
Fractional coordinates of all 7 atoms:
Cd (0.000, 0.000, 0.000)
Cd (0.000, 0.500, 0.500)
Cd (0.500, 0.000, 0.500)
Cd (0.500, 0.500, 0.000)
C (0.000, 0.000, 0.500)
C (0.000, 0.500, 0.000)
C (0.500, 0.000, 0.000)

Calculated values
- ΔH_f (0 K) (eV per atom) = 1.617

***

[2]
Here is a geometry-optimized HfZr2PSe structure from Alexandria. Energies are from PBE.

Cell lengths 4.971, 4.971, 4.857 Å; angles 90.00, 90.00, 90.00 degrees
Fractional coordinates of all 5 atoms:
Hf (0.000, 0.000, 0.000)
Zr (0.000, 0.500, 0.500)
Zr (0.500, 0.000, 0.500)
P (0.500, 0.500, 0.000)
Se (0.500, 0.500, 0.500)

Calculated values
- ΔE_f (raw) (eV/atom) = 0.38

***

[3]
Here is a geometry-optimized PmGa2Tc2B structure from Alexandria. Energies are from PBE.

Cell lengths 4.242, 4.242, 5.567 Å; angles 90.00, 90.00, 90.00 degrees
Fractional coordinates of all 6 atoms:
Pm (0.000, 0.000, 0.000)
Ga (0.500, 0.500, 0.228)
Ga (0.500, 0.500, 0.772)
Tc (0.000, 0.500, 0.500)
Tc (0.500, 0.000, 0.500)
B (0.000, 0.000, 0.500)

Calculated values
- ΔH_f (0 K) (eV per atom) = -0.476

***

[4]
Here is a geometry-optimized MnVTc structure from Alexandria. Energies are from PBE.

Cell lengths 4.160, 4.160, 5.185 Å; angles 90.00, 90.00, 120.00 degrees
Fractional coordinates of all 6 atoms:
Mn (0.333, 0.667, 0.328)
Mn (0.667, 0.333, 0.672)
V (0.333, 0.667, 0.827)
V (0.667, 0.333, 0.173)
Tc (0.000, 0.000, 0.000)
Tc (0.000, 0.000, 0.500)

Calculated values
- ΔH_f (0 K) (eV per atom) = -0.107

***

[5]
Here is a geometry-optimized Ce2PuMnN4 structure from Alexandria. Energies are from PBE.

Cell lengths 5.977, 5.977, 11.826 Å; angles 90.00, 90.00, 147.25 degrees
Fractional coordinates of all 16 atoms:
Ce (0.133, 0.867, 0.553)
Ce (0.133, 0.867, 0.947)
Ce (0.867, 0.133, 0.053)
Ce (0.867, 0.133, 0.447)
Pu (0.396, 0.604, 0.750)
Pu (0.604, 0.396, 0.250)
Mn (0.341, 0.659, 0.250)
Mn (0.659, 0.341, 0.750)
N (0.059, 0.941, 0.750)
N (0.225, 0.775, 0.133)
N (0.225, 0.775, 0.367)
N (0.500, 0.500, 0.000)
N (0.500, 0.500, 0.500)
N (0.775, 0.225, 0.633)
N (0.775, 0.225, 0.867)
N (0.941, 0.059, 0.250)

Calculated values
- ΔE_f (raw) (eV/atom) = -1.06

***

[6]
Here is a geometry-optimized Sr2MnPb structure from Alexandria. Energies are from PBE.

Cell lengths 3.919, 3.919, 9.157 Å; angles 90.00, 90.00, 90.00 degrees
Fractional coordinates of all 4 atoms:
Sr (0.000, 0.000, 0.000)
Sr (0.500, 0.500, 0.372)
Mn (0.000, 0.000, 0.623)
Pb (0.500, 0.500, 0.745)

Calculated values
- ΔH_f (0 K) (eV per atom) = 0.145